Entry 1:
Computed, not measured: KAl2CdGa4 after structural relaxation at the PBE-GGA level of DFT.

a b c (Å): 4.697 4.697 10.342
angles (deg): 76.87 76.87 60.00
Element x y z (fractional)
1 K 0.000 0.000 0.000
2 Al 0.773 0.773 0.682
3 Al 0.227 0.227 0.318
4 Cd 0.500 0.500 0.500
5 Ga 0.407 0.407 0.778
6 Ga 0.874 0.874 0.379
7 Ga 0.126 0.126 0.621
8 Ga 0.593 0.593 0.222

Values from the calculation:
DFT formation energy: 0.04 eV per atom

=====

Entry 2:
Computed, not measured: Li2Co2As after structural relaxation at the PBE-GGA level of DFT.

a b c (Å): 5.743 5.743 4.227
angles (deg): 90.00 90.00 90.00
Element x y z (fractional)
1 As 0.000 0.000 0.000
2 As 0.500 0.500 0.000
3 Co 0.362 0.862 0.000
4 Co 0.862 0.638 0.000
5 Co 0.638 0.138 0.000
6 Co 0.138 0.362 0.000
7 Li 0.167 0.667 0.500
8 Li 0.667 0.833 0.500
9 Li 0.833 0.333 0.500
10 Li 0.333 0.167 0.500

Values from the calculation:
DFT formation energy: -0.12 eV per atom

=====

Entry 3:
Computed, not measured: Ta2HgMo after structural relaxation at the PBE-GGA level of DFT.

a b c (Å): 10.269 10.269 10.269
angles (deg): 16.26 16.26 16.26
Element x y z (fractional)
1 Hg 0.250 0.250 0.250
2 Mo 0.750 0.750 0.750
3 Ta 0.002 0.002 0.002
4 Ta 0.498 0.498 0.498

Values from the calculation:
DFT formation energy: 0.40 eV per atom

=====

Entry 4:
Computed, not measured: CsK6OF after structural relaxation at the PBE-GGA level of DFT.

a b c (Å): 7.212 7.212 11.468
angles (deg): 90.00 90.00 60.00
Element x y z (fractional)
1 Cs 0.000 0.000 0.000
2 K 0.014 0.370 0.369
3 K 0.370 0.014 0.631
4 K 0.616 0.370 0.631
5 K 0.014 0.616 0.631
6 K 0.370 0.616 0.369
7 K 0.616 0.014 0.369
8 O 0.333 0.333 0.500
9 F 0.667 0.667 0.500

Values from the calculation:
Total DFT energy (no corrections): -2.48 eV per atom

=====

Entry 5:
Computed, not measured: KAg2P after structural relaxation at the PBE-GGA level of DFT.

a b c (Å): 6.116 6.116 2.915
angles (deg): 76.26 76.26 118.71
Element x y z (fractional)
1 Ag 0.000 0.000 0.000
2 Ag 0.500 0.500 0.000
3 K 0.500 0.000 0.500
4 P 0.000 0.500 0.500

Values from the calculation:
DFT formation energy: 0.32 eV per atom

=====

Entry 6:
Computed, not measured: La2Zr after structural relaxation at the PBE-GGA level of DFT.

a b c (Å): 6.105 6.105 6.105
angles (deg): 146.90 131.69 59.82
Element x y z (fractional)
1 La 0.993 0.993 0.000
2 La 0.674 0.674 0.000
3 Zr 0.333 0.333 0.000

Values from the calculation:
DFT formation energy: 0.16 eV per atom
Offset from the most stable computed form: 0.041 eV/atom

=====

Entry 7:
Computed, not measured: Pm4DyEr2 after structural relaxation at the PBE-GGA level of DFT.

a b c (Å): 12.501 12.501 6.777
angles (deg): 97.03 97.03 150.15
Element x y z (fractional)
1 Pm 0.711 0.174 0.862
2 Pm 0.174 0.711 0.362
3 Pm 0.186 0.795 0.895
4 Pm 0.795 0.186 0.395
5 Pm 0.040 0.149 0.605
6 Pm 0.562 0.599 0.138
7 Pm 0.599 0.562 0.638
8 Pm 0.149 0.040 0.105
9 Dy 0.424 0.674 0.500
10 Dy 0.674 0.424 0.000
11 Er 0.621 0.302 0.450
12 Er 0.921 0.103 0.051
13 Er 0.103 0.921 0.551
14 Er 0.302 0.621 0.950

Values from the calculation:
DFT formation energy: 0.06 eV per atom
Offset from the most stable computed form: 0.000 eV/atom

=====

Entry 8:
Computed, not measured: CeInSb after structural relaxation at the PBE-GGA level of DFT.

a b c (Å): 4.037 4.975 4.975
angles (deg): 120.00 90.00 90.00
Last column: magnetic moment on the atom in μB.
Element x y z (fractional)
1 Sb 0.763 0.667 0.333  -0.01
2 Ce 0.321 0.333 0.667  0.96
3 In 0.916 0.000 0.000  0.02

Values from the calculation:
Offset from the most stable computed form: 0.009 eV/atom

=====

Entry 9:
Computed, not measured: AcTePb2 after structural relaxation at the PBE-GGA level of DFT.

a b c (Å): 5.732 4.773 4.773
angles (deg): 90.00 90.00 90.00
Element x y z (fractional)
1 Pb 0.000 0.000 0.500
2 Pb 0.000 0.500 0.000
3 Ac 0.500 0.000 0.000
4 Te 0.500 0.500 0.500

Values from the calculation:
Offset from the most stable computed form: 0.000 eV/atom

=====

Entry 10:
Computed, not measured: PmHg5 after structural relaxation at the PBE-GGA level of DFT.

a b c (Å): 5.139 5.162 6.596
angles (deg): 85.80 90.00 119.86
Element x y z (fractional)
1 Pm 0.306 0.611 0.111
2 Hg 0.980 0.961 0.868
3 Hg 0.306 0.611 0.611
4 Hg 0.631 0.262 0.355
5 Hg 0.648 0.296 0.867
6 Hg 0.963 0.926 0.356

Values from the calculation:
DFT formation energy: -0.23 eV per atom

=====

Entry 11:
Computed, not measured: La2NdAs4Rh3 after structural relaxation at the PBE-GGA level of DFT.

a b c (Å): 4.397 4.397 11.082
angles (deg): 90.00 90.00 90.00
Element x y z (fractional)
1 La 0.500 0.000 0.218
2 La 0.000 0.500 0.782
3 Nd 0.500 0.500 0.500
4 As 0.500 0.500 0.000
5 As 0.000 0.000 0.000
6 As 0.500 0.000 0.671
7 As 0.000 0.500 0.329
8 Rh 0.000 0.000 0.500
9 Rh 0.500 0.000 0.896
10 Rh 0.000 0.500 0.104

Values from the calculation:
DFT formation energy: -0.99 eV per atom

=====

Entry 12:
Computed, not measured: PmSm3Dy2Tm6 after structural relaxation at the PBE-GGA level of DFT.

a b c (Å): 6.147 6.147 11.675
angles (deg): 95.02 95.02 119.97
Element x y z (fractional)
1 Pm 0.000 0.000 0.000
2 Sm 0.167 0.833 0.500
3 Sm 0.833 0.167 0.500
4 Sm 0.500 0.500 0.500
5 Dy 0.333 0.667 0.000
6 Dy 0.667 0.333 0.000
7 Tm 0.917 0.583 0.751
8 Tm 0.749 0.749 0.249
9 Tm 0.083 0.417 0.249
10 Tm 0.583 0.917 0.751
11 Tm 0.251 0.251 0.751
12 Tm 0.417 0.083 0.249

Values from the calculation:
DFT formation energy: 0.02 eV per atom

=====

Entry 13:
Computed, not measured: Ba2CrCo after structural relaxation at the PBE-GGA level of DFT.

a b c (Å): 3.617 3.617 9.278
angles (deg): 90.00 90.00 90.00
Last column: magnetic moment on the atom in μB.
Element x y z (fractional)
1 Ba 0.000 0.000 0.910  -0.03
2 Ba 0.500 0.500 0.339  0.01
3 Co 0.000 0.000 0.592  1.18
4 Cr 0.500 0.500 0.659  3.14

Values from the calculation:
DFT formation energy: 0.66 eV per atom
Offset from the most stable computed form: 0.211 eV/atom

=====

Entry 14:
Computed, not measured: YMoAu after structural relaxation at the PBE-GGA level of DFT.

a b c (Å): 3.212 3.212 7.012
angles (deg): 90.00 90.00 120.00
Element x y z (fractional)
1 Au 0.000 0.000 0.017
2 Mo 0.333 0.667 0.322
3 Y 0.667 0.333 0.661

Values from the calculation:
DFT formation energy: 0.39 eV per atom
Offset from the most stable computed form: 0.228 eV/atom

=====

Entry 15:
Computed, not measured: Tb3Ho3Tl2 after structural relaxation at the PBE-GGA level of DFT.

a b c (Å): 4.843 4.847 9.715
angles (deg): 90.00 90.00 90.00
Last column: magnetic moment on the atom in μB.
Element x y z (fractional)
1 Tb 0.500 0.000 0.500  0.22
2 Tb 0.000 0.500 0.000  0.20
3 Tb 0.000 0.500 0.500  0.20
4 Ho 0.500 0.500 0.750  0.22
5 Ho 0.500 0.500 0.250  0.22
6 Ho 0.500 0.000 0.000  0.21
7 Tl 0.000 0.000 0.751  -0.01
8 Tl 0.000 0.000 0.249  -0.01

Values from the calculation:
DFT formation energy: -0.18 eV per atom

=====

Entry 16:
Computed, not measured: SbPtAuF2 after structural relaxation at the PBE-GGA level of DFT.

a b c (Å): 4.149 5.552 4.149
angles (deg): 90.00 90.00 90.00
Element x y z (fractional)
1 Sb 0.000 0.000 0.000
2 Au 0.000 0.500 0.000
3 Pt 0.500 0.500 0.500
4 F 0.000 0.000 0.500
5 F 0.500 0.000 0.000

Values from the calculation:
Total DFT energy (no corrections): -4.08 eV per atom

=====

Entry 17:
Computed, not measured: AcPm3SmEr after structural relaxation at the PBE-GGA level of DFT.

a b c (Å): 5.213 8.235 11.012
angles (deg): 116.44 90.00 90.00
Element x y z (fractional)
1 Ac 0.250 0.124 0.293
2 Ac 0.750 0.876 0.707
3 Pm 0.750 0.868 0.040
4 Pm 0.250 0.132 0.960
5 Pm 0.250 0.626 0.453
6 Pm 0.750 0.374 0.547
7 Pm 0.750 0.380 0.208
8 Pm 0.250 0.620 0.792
9 Sm 0.250 0.621 0.125
10 Sm 0.750 0.379 0.875
11 Er 0.250 0.129 0.627
12 Er 0.750 0.871 0.373

Values from the calculation:
DFT formation energy: 0.04 eV per atom

=====

Entry 18:
Computed, not measured: AlGa2Pd6 after structural relaxation at the PBE-GGA level of DFT.

a b c (Å): 4.161 8.021 8.022
angles (deg): 90.00 90.00 90.00
Element x y z (fractional)
1 Al 0.500 0.500 0.000
2 Al 0.000 0.000 0.500
3 Ga 0.000 0.299 0.799
4 Ga 0.500 0.799 0.701
5 Ga 0.500 0.201 0.299
6 Ga 0.000 0.701 0.201
7 Pd 0.000 0.025 0.181
8 Pd 0.000 0.680 0.525
9 Pd 0.000 0.627 0.873
10 Pd 0.500 0.127 0.627
11 Pd 0.500 0.180 0.975
12 Pd 0.500 0.525 0.319
13 Pd 0.000 0.975 0.819
14 Pd 0.000 0.320 0.475
15 Pd 0.000 0.373 0.127
16 Pd 0.500 0.873 0.373
17 Pd 0.500 0.820 0.025
18 Pd 0.500 0.475 0.681

Values from the calculation:
DFT formation energy: -0.66 eV per atom

=====

Entry 19:
Computed, not measured: Be2TlCo after structural relaxation at the PBE-GGA level of DFT.

a b c (Å): 3.753 2.820 5.168
angles (deg): 99.35 90.00 90.00
Element x y z (fractional)
1 Be 0.000 0.915 0.087
2 Be 0.000 0.585 0.413
3 Tl 0.500 0.750 0.750
4 Co 0.500 0.250 0.250

Values from the calculation:
DFT formation energy: 0.43 eV per atom
Offset from the most stable computed form: 0.230 eV/atom

=====

Entry 20:
Computed, not measured: Si2Au after structural relaxation at the PBE-GGA level of DFT.

a b c (Å): 10.603 10.603 2.807
angles (deg): 90.00 90.00 159.82
Element x y z (fractional)
1 Si 0.450 0.550 0.750
2 Si 0.550 0.450 0.250
3 Si 0.779 0.221 0.750
4 Si 0.221 0.779 0.250
5 Au 0.113 0.887 0.750
6 Au 0.887 0.113 0.250

Values from the calculation:
Offset from the most stable computed form: 0.161 eV/atom

=====

Looking at density of states at the Fermi level for the records above, in order, we have 0.254, 0.775, 0.916, 0.448, 0.202, 1.620, 1.440, 2.736, 0.748, 0.543, 0.494, 1.220, 1.197, 1.045, 1.289, 0.492, 1.644, 0.280, 0.478, 0.371 states/eV per atom.
Looking at total magnetization for the records above, in order, we have 0.000, 0.007, 0.000, 0.000, 0.000, 0.000, 0.000, 1.196, 0.000, 0.000, 0.000, 0.000, 4.555, 0.000, 1.587, 0.000, 0.000, 0.000, 0.000, 0.000 μB/f.u..